[1]
This record from the Alexandria database describes PrTlCd17 after structural relaxation. The functional is PBE-GGA.

abc: 10.2070 10.2070 15.0699
angles: 90.00 90.00 120.00
Space group R3m (No. 160, hexagonal axes)
One atom of each set of equivalent atoms:
Pr 0.0000 0.0000 0.0000
Tl 0.0000 0.0000 0.6850
Cd 0.0000 0.0000 0.2343
Cd 0.0000 0.0000 0.4404
Cd 0.0014 0.3012 0.3325
Cd 0.0049 0.5024 0.8311
Cd 0.0072 0.5036 0.4808
Cd 0.1756 0.3512 0.5185

Output
The formation energy is -0.069 eV/atom. For the raw total energy, the calculation gives -1.26 eV/atom. Its magnetization is 0.000 μB per atom.


[2]
This record from the Alexandria database describes Pr3TlCd2 after structural relaxation. The functional is PBE-GGA.

abc: 3.861 3.861 11.970
angles: 90.00 90.00 90.00
Space group P4/mmm (No. 123)
One atom of each set of equivalent atoms:
Pr 0.000 0.000 0.000
Pr 0.000 0.000 0.328
Tl 0.500 0.500 0.500
Cd 0.500 0.500 0.161

Output
As for the offset from the most stable computed form: 3 meV per atom. The formation energy is -0.336 eV/atom. For the raw total energy, the calculation gives -3.43 eV/atom. Its magnetization is 0.143 μB per atom.


[3]
This record from the Alexandria database describes Pr7Tl4Cd after structural relaxation. The functional is PBE-GGA.

abc: 17.175 5.838 9.147
angles: 90.00 121.69 90.00
Space group C2/m (No. 12)
One atom of each set of equivalent atoms:
Pr 0.000 0.000 0.000
Pr 0.068 0.500 0.737
Pr 0.165 0.500 0.402
Pr 0.214 0.000 0.822
Tl 0.059 0.000 0.408
Tl 0.213 0.000 0.182
Cd 0.000 0.500 0.000

Output
The formation energy is -0.190 eV/atom. For the raw total energy, the calculation gives -3.84 eV/atom. Its magnetization is 0.000 μB per atom.


[4]
This record from the Alexandria database describes Pr8Tl5Cd after structural relaxation. The functional is PBE-GGA.

abc: 9.685 9.685 9.683
angles: 90.00 90.00 90.00
Space group I-4 (No. 82)
One atom of each set of equivalent atoms:
Pr 0.073 0.326 0.049
Pr 0.077 0.178 0.697
Tl 0.000 0.500 0.750
Tl 0.126 0.249 0.373
Cd 0.000 0.000 0.000

Output
The formation energy is -0.264 eV/atom. For the raw total energy, the calculation gives -3.91 eV/atom. Its magnetization is 0.000 μB per atom.


[5]
This record from the Alexandria database describes Pr5TlCd6 after structural relaxation. The functional is PBE-GGA.

abc: 16.973 8.023 5.303
angles: 90.00 107.98 90.00
Space group C2/m (No. 12)
One atom of each set of equivalent atoms:
Pr 0.000 0.000 0.000
Pr 0.156 0.500 0.656
Pr 0.172 0.000 0.672
Tl 0.000 0.500 0.000
Cd 0.000 0.241 0.500
Cd 0.165 0.249 0.165

Output
The formation energy is -0.277 eV/atom. For the raw total energy, the calculation gives -2.92 eV/atom. Its magnetization is 0.003 μB per atom.


[6]
This record from the Alexandria database describes Pr12Tl3Cd after structural relaxation. The functional is PBE-GGA.

abc: 5.032 5.032 20.069
angles: 90.00 90.00 90.00
Space group P4/mmm (No. 123)
One atom of each set of equivalent atoms:
Pr 0.000 0.000 0.000
Pr 0.000 0.000 0.248
Pr 0.000 0.000 0.500
Pr 0.000 0.500 0.124
Pr 0.000 0.500 0.375
Tl 0.500 0.500 0.250
Tl 0.500 0.500 0.500
Cd 0.500 0.500 0.000

Output
The formation energy is -0.190 eV/atom. For the raw total energy, the calculation gives -4.28 eV/atom. Its magnetization is 0.000 μB per atom.


[7]
This record from the Alexandria database describes Pr3Tl2Cd7 after structural relaxation. The functional is PBE-GGA.

abc: 6.1057 6.1057 29.4552
angles: 90.00 90.00 120.00
Space group R-3m (No. 166, hexagonal axes)
One atom of each set of equivalent atoms:
Pr 0.0000 0.0000 0.0000
Pr 0.0000 0.0000 0.1419
Tl 0.0000 0.0000 0.3352
Cd 0.0000 0.0000 0.5000
Cd 0.0081 0.5041 0.9126

Output
The formation energy is -0.216 eV/atom. For the raw total energy, the calculation gives -2.34 eV/atom. Its magnetization is 0.000 μB per atom.


[8]
This record from the Alexandria database describes Pr2TlCd5 after structural relaxation. The functional is PBE-GGA.

abc: 6.628 6.628 9.640
angles: 90.00 90.00 90.00
Space group I4mm (No. 107)
One atom of each set of equivalent atoms:
Pr 0.000 0.500 0.000
Tl 0.000 0.000 0.499
Cd 0.000 0.000 0.001
Cd 0.250 0.250 0.250

Output
As for the offset from the most stable computed form: 0 meV per atom. The formation energy is -0.272 eV/atom. For the raw total energy, the calculation gives -2.33 eV/atom. Its magnetization is 0.000 μB per atom.


[9]
This record from the Alexandria database describes PrTlCd4 after structural relaxation. The functional is PBE-GGA.

abc: 6.707 18.061 5.103
angles: 90.00 90.00 90.00
Space group Cmcm (No. 63)
One atom of each set of equivalent atoms:
Pr 0.000 0.120 0.250
Tl 0.000 0.377 0.750
Cd 0.245 0.209 0.750
Cd 0.248 0.043 0.750

Output
As for the offset from the most stable computed form: 0 meV per atom. The formation energy is -0.210 eV/atom. For the raw total energy, the calculation gives -2.01 eV/atom. Its magnetization is 0.000 μB per atom.


[10]
This record from the Alexandria database describes Pr11Tl4Cd9 after structural relaxation. The functional is PBE-GGA.

abc: 16.518 22.325 3.844
angles: 90.00 90.00 90.00
Space group Cmmm (No. 65)
One atom of each set of equivalent atoms:
Pr 0.000 0.000 0.000
Pr 0.000 0.180 0.000
Pr 0.000 0.358 0.000
Pr 0.232 0.000 0.000
Pr 0.235 0.172 0.000
Tl 0.147 0.416 0.500
Cd 0.000 0.500 0.500
Cd 0.110 0.089 0.500
Cd 0.118 0.265 0.500

Output
The formation energy is -0.299 eV/atom. For the raw total energy, the calculation gives -3.23 eV/atom. Its magnetization is 0.000 μB per atom.


[11]
This record from the Alexandria database describes Pr3Tl2Cd5 after structural relaxation. The functional is PBE-GGA.

abc: 12.818 13.532 6.508
angles: 90.00 90.00 90.00
Space group Ibam (No. 72)
One atom of each set of equivalent atoms:
Pr 0.000 0.000 0.250
Pr 0.124 0.271 0.000
Tl 0.125 0.163 0.500
Cd 0.000 0.500 0.250
Cd 0.126 0.368 0.500
Cd 0.248 0.500 0.250

Output
The formation energy is -0.163 eV/atom. For the raw total energy, the calculation gives -2.53 eV/atom. Its magnetization is 0.000 μB per atom.


[12]
This record from the Alexandria database describes PrTl2Cd after structural relaxation. The functional is PBE-GGA.

abc: 4.831 4.831 4.704
angles: 90.00 90.00 90.00
Space group P4/mmm (No. 123)
One atom of each set of equivalent atoms:
Pr 0.000 0.000 0.000
Tl 0.000 0.500 0.500
Cd 0.500 0.500 0.000

Output
As for the offset from the most stable computed form: 0 meV per atom. The formation energy is -0.308 eV/atom. For the raw total energy, the calculation gives -2.91 eV/atom. Its magnetization is 0.000 μB per atom.


[13]
This record from the Alexandria database describes Pr7TlCd3 after structural relaxation. The functional is PBE-GGA.

abc: 5.970 10.172 11.760
angles: 90.00 90.00 90.00
Space group Immm (No. 71)
One atom of each set of equivalent atoms:
Pr 0.000 0.000 0.000
Pr 0.000 0.182 0.500
Pr 0.000 0.328 0.227
Tl 0.000 0.500 0.500
Cd 0.000 0.000 0.271
Cd 0.000 0.500 0.000

Output
The formation energy is -0.099 eV/atom. For the raw total energy, the calculation gives -3.61 eV/atom. Its magnetization is 0.000 μB per atom.


[14]
This record from the Alexandria database describes Pr3Tl6Cd2 after structural relaxation. The functional is PBE-GGA.

abc: 4.573 4.573 32.065
angles: 90.00 90.00 90.00
Space group I4/mmm (No. 139)
One atom of each set of equivalent atoms:
Pr 0.000 0.000 0.000
Pr 0.000 0.000 0.163
Tl 0.000 0.000 0.266
Tl 0.000 0.500 0.075
Cd 0.000 0.000 0.359

Output
The formation energy is -0.176 eV/atom. For the raw total energy, the calculation gives -2.94 eV/atom. Its magnetization is 0.000 μB per atom.


[15]
This record from the Alexandria database describes PrTlCd4 after structural relaxation. The functional is PBE-GGA.

abc: 8.538 8.538 8.538
angles: 90.00 90.00 90.00
Space group F-43m (No. 216)
One atom of each set of equivalent atoms:
Pr 0.000 0.000 0.000
Tl 0.250 0.250 0.250
Cd 0.125 0.125 0.625

Output
As for the offset from the most stable computed form: 73 meV per atom. The formation energy is -0.137 eV/atom. For the raw total energy, the calculation gives -1.94 eV/atom. Its magnetization is 0.000 μB per atom.


[16]
This record from the Alexandria database describes Pr6TlCd3 after structural relaxation. The functional is PBE-GGA.

abc: 9.652 5.479 12.146
angles: 90.00 107.44 90.00
Space group P2_1/m (No. 11)
One atom of each set of equivalent atoms:
Pr 0.039 0.250 0.414
Pr 0.159 0.750 0.176
Pr 0.235 0.250 0.995
Pr 0.338 0.750 0.802
Pr 0.370 0.250 0.344
Pr 0.407 0.250 0.625
Tl 0.456 0.750 0.094
Cd 0.030 0.750 0.872
Cd 0.111 0.250 0.713
Cd 0.269 0.750 0.475

Output
The formation energy is -0.243 eV/atom. For the raw total energy, the calculation gives -3.62 eV/atom. Its magnetization is 0.000 μB per atom.


[17]
This record from the Alexandria database describes Pr4Tl2Cd after structural relaxation. The functional is PBE-GGA.

abc: 5.4786 5.4786 26.2215
angles: 90.00 90.00 120.00
Space group R-3m (No. 166, hexagonal axes)
One atom of each set of equivalent atoms:
Pr 0.0000 0.0000 0.1178
Pr 0.0000 0.0000 0.3704
Tl 0.0000 0.0000 0.2458
Cd 0.0000 0.0000 0.5000

Output
As for the offset from the most stable computed form: 0 meV per atom. The formation energy is -0.245 eV/atom. For the raw total energy, the calculation gives -3.78 eV/atom. Its magnetization is 0.000 μB per atom.


[18]
This record from the Alexandria database describes PrTl2Cd after structural relaxation. The functional is PBE-GGA.

abc: 4.9358 4.9358 16.0696
angles: 90.00 90.00 120.00
Space group R-3m (No. 166, hexagonal axes)
One atom of each set of equivalent atoms:
Pr 0.0000 0.0000 0.0000
Tl 0.0000 0.0000 0.2341
Cd 0.0000 0.0000 0.5000

Output
As for the offset from the most stable computed form: 94 meV per atom. The formation energy is -0.213 eV/atom. For the raw total energy, the calculation gives -2.82 eV/atom. Its magnetization is 0.000 μB per atom.


[19]
This record from the Alexandria database describes Pr4TlCd after structural relaxation. The functional is PBE-GGA.

abc: 6.253 6.902 9.069
angles: 90.00 99.02 90.00
Space group P2_1/m (No. 11)
One atom of each set of equivalent atoms:
Pr 0.119 0.250 0.336
Pr 0.179 0.750 0.038
Pr 0.373 0.011 0.694
Tl 0.163 0.750 0.389
Cd 0.334 0.250 0.023

Output
As for the offset from the most stable computed form: 22 meV per atom. The formation energy is -0.189 eV/atom. For the raw total energy, the calculation gives -3.92 eV/atom. Its magnetization is 0.000 μB per atom.


[20]
This record from the Alexandria database describes Pr6TlCd2 after structural relaxation. The functional is PBE-GGA.

abc: 10.457 10.556 10.701
angles: 90.00 90.00 90.00
Space group Immm (No. 71)
One atom of each set of equivalent atoms:
Pr 0.000 0.178 0.231
Pr 0.182 0.500 0.234
Pr 0.200 0.247 0.500
Tl 0.000 0.000 0.500
Tl 0.000 0.500 0.500
Cd 0.000 0.366 0.000
Cd 0.138 0.000 0.000

Output
The formation energy is -0.163 eV/atom. For the raw total energy, the calculation gives -3.82 eV/atom. Its magnetization is 0.000 μB per atom.